## LiPd7Au3 (GGA-PBE)

Data for an optimized crystal structure of LiPd7Au3.

Calculated values
DOS at the Fermi energy: 13.083 states/eV/cell
calculated volume: 184.2 Å³/f.u.
ΔH_f (0 K): -0.06 eV per atom
magnetization: 0.00 μB per formula unit

CIF file:
```
data_LiPd7Au3
_space_group_name_H-M_alt 'P 3 m 1'
_space_group_IT_number 156
_space_group_name_Hall 'P 3 -2"'
_cell_length_a 5.5557
_cell_length_b 5.5557
_cell_length_c 6.8896
_cell_angle_alpha 90.00
_cell_angle_beta 90.00
_cell_angle_gamma 120.00
loop_
_atom_site_label
_atom_site_type_symbol
_atom_site_fract_x
_atom_site_fract_y
_atom_site_fract_z
_atom_site_occupancy
Li1 Li 0.0000 0.0000 0.0000 1
Pd1 Pd 0.3333 0.6667 0.3173 1
Pd2 Pd 0.3346 0.1673 0.3199 1
Pd3 Pd 0.5015 0.0030 0.9902 1
Au1 Au 0.1658 0.3316 0.6588 1
```

***

## Li6Pd3Au (GGA-PBE)

Data for an optimized crystal structure of Li6Pd3Au.

Calculated values
DOS at the Fermi energy: 7.957 states/eV/cell
calculated volume: 153.3 Å³/f.u.
ΔH_f (0 K): -0.35 eV per atom
magnetization: 0.00 μB per formula unit

CIF file:
```
data_Li6Pd3Au
_space_group_name_H-M_alt 'C 1 2/m 1'
_space_group_IT_number 12
_space_group_name_Hall '-C 2y'
_cell_length_a 8.740
_cell_length_b 5.132
_cell_length_c 7.351
_cell_angle_alpha 90.00
_cell_angle_beta 111.60
_cell_angle_gamma 90.00
loop_
_atom_site_label
_atom_site_type_symbol
_atom_site_fract_x
_atom_site_fract_y
_atom_site_fract_z
_atom_site_occupancy
Li1 Li 0.157 0.000 0.423 1
Li2 Li 0.165 0.257 0.810 1
Pd1 Pd 0.000 0.500 0.500 1
Pd2 Pd 0.094 0.500 0.191 1
Au1 Au 0.000 0.000 0.000 1
```

***

## LiPd3Au12 (GGA-PBE)

Data for an optimized crystal structure of LiPd3Au12.

Calculated values
DOS at the Fermi energy: 7.183 states/eV/cell
calculated volume: 275.2 Å³/f.u.
ΔH_f (0 K): -0.13 eV per atom
magnetization: 0.00 μB per formula unit

CIF file:
```
data_LiPd3Au12
_space_group_name_H-M_alt 'P 4/m m m'
_space_group_IT_number 123
_space_group_name_Hall '-P 4 2'
_cell_length_a 4.090
_cell_length_b 4.090
_cell_length_c 16.453
_cell_angle_alpha 90.00
_cell_angle_beta 90.00
_cell_angle_gamma 90.00
loop_
_atom_site_label
_atom_site_type_symbol
_atom_site_fract_x
_atom_site_fract_y
_atom_site_fract_z
_atom_site_occupancy
Li1 Li 0.000 0.000 0.000 1
Pd1 Pd 0.000 0.000 0.249 1
Pd2 Pd 0.000 0.000 0.500 1
Au1 Au 0.000 0.500 0.123 1
Au2 Au 0.000 0.500 0.374 1
Au3 Au 0.500 0.500 0.000 1
Au4 Au 0.500 0.500 0.248 1
Au5 Au 0.500 0.500 0.500 1
```

***

## Li6PdAu3 (GGA-PBE)

Data for an optimized crystal structure of Li6PdAu3.

Calculated values
DOS at the Fermi energy: 10.338 states/eV/cell
calculated volume: 206.8 Å³/f.u.
ΔH_f (0 K): -0.07 eV per atom
magnetization: 0.00 μB per formula unit

CIF file:
```
data_Li6PdAu3
_space_group_name_H-M_alt 'F m -3 m'
_space_group_IT_number 225
_space_group_name_Hall '-F 4 2 3'
_cell_length_a 9.388
_cell_length_b 9.388
_cell_length_c 9.388
_cell_angle_alpha 90.00
_cell_angle_beta 90.00
_cell_angle_gamma 90.00
loop_
_atom_site_label
_atom_site_type_symbol
_atom_site_fract_x
_atom_site_fract_y
_atom_site_fract_z
_atom_site_occupancy
Li1 Li 0.000 0.000 0.245 1
Pd1 Pd 0.000 0.000 0.000 1
Au1 Au 0.000 0.000 0.500 1
Au2 Au 0.250 0.250 0.250 1
```

***

## Li2Pd2Au5 (GGA-PBE)

Data for an optimized crystal structure of Li2Pd2Au5.

Calculated values
DOS at the Fermi energy: 2.463 states/eV/cell
calculated volume: 148.2 Å³/f.u.
ΔH_f (0 K): -0.32 eV per atom
magnetization: 0.00 μB per formula unit
offset from the most stable computed form: 0 meV/atom

CIF file:
```
data_Li2Pd2Au5
_space_group_name_H-M_alt 'P -1'
_space_group_IT_number 2
_space_group_name_Hall '-P 1'
_cell_length_a 4.924
_cell_length_b 4.924
_cell_length_c 7.563
_cell_angle_alpha 91.33
_cell_angle_beta 107.62
_cell_angle_gamma 119.87
loop_
_atom_site_label
_atom_site_type_symbol
_atom_site_fract_x
_atom_site_fract_y
_atom_site_fract_z
_atom_site_occupancy
Li1 Li 0.164 0.328 0.000 1
Pd1 Pd 0.391 0.115 0.328 1
Au1 Au 0.056 0.448 0.321 1
Au2 Au 0.282 0.224 0.678 1
Au3 Au 0.500 0.000 0.000 1
```

***

## LiPdAu4 (GGA-PBE)

Data for an optimized crystal structure of LiPdAu4.

Calculated values
DOS at the Fermi energy: 6.057 states/eV/cell
calculated volume: 103.7 Å³/f.u.
ΔH_f (0 K): -0.19 eV per atom
magnetization: 0.00 μB per formula unit
offset from the most stable computed form: 40 meV/atom

CIF file:
```
data_LiPdAu4
_space_group_name_H-M_alt 'C 1 2/c 1'
_space_group_IT_number 15
_space_group_name_Hall '-C 2yc'
_cell_length_a 8.411
_cell_length_b 10.804
_cell_length_c 5.362
_cell_angle_alpha 90.00
_cell_angle_beta 121.69
_cell_angle_gamma 90.00
loop_
_atom_site_label
_atom_site_type_symbol
_atom_site_fract_x
_atom_site_fract_y
_atom_site_fract_z
_atom_site_occupancy
Li1 Li 0.000 0.080 0.250 1
Pd1 Pd 0.000 0.175 0.750 1
Au1 Au 0.171 0.323 0.249 1
Au2 Au 0.179 0.421 0.756 1
```

***

## Li2Pd3Au5 (GGA-PBE)

Data for an optimized crystal structure of Li2Pd3Au5.

Calculated values
DOS at the Fermi energy: 3.054 states/eV/cell
calculated volume: 188.9 Å³/f.u.
ΔH_f (0 K): -0.15 eV per atom
magnetization: 0.00 μB per formula unit

CIF file:
```
data_Li2Pd3Au5
_space_group_name_H-M_alt 'P -1'
_space_group_IT_number 2
_space_group_name_Hall '-P 1'
_cell_length_a 4.792
_cell_length_b 4.882
_cell_length_c 9.355
_cell_angle_alpha 80.47
_cell_angle_beta 84.85
_cell_angle_gamma 61.10
loop_
_atom_site_label
_atom_site_type_symbol
_atom_site_fract_x
_atom_site_fract_y
_atom_site_fract_z
_atom_site_occupancy
Li1 Li 0.005 0.082 0.288 1
Pd1 Pd 0.000 0.500 0.000 1
Pd2 Pd 0.322 0.239 0.752 1
Au1 Au 0.328 0.836 0.004 1
Au2 Au 0.335 0.427 0.259 1
Au3 Au 0.500 0.000 0.500 1
```

***

## LiPdAu (GGA-PBE)

Data for an optimized crystal structure of LiPdAu.

Calculated values
DOS at the Fermi energy: 5.105 states/eV/cell
calculated volume: 46.6 Å³/f.u.
ΔH_f (0 K): -0.38 eV per atom
magnetization: 0.00 μB per formula unit
offset from the most stable computed form: 51 meV/atom

CIF file:
```
data_LiPdAu
_space_group_name_H-M_alt 'C 1 2/m 1'
_space_group_IT_number 12
_space_group_name_Hall '-C 2y'
_cell_length_a 9.283
_cell_length_b 4.318
_cell_length_c 5.556
_cell_angle_alpha 90.00
_cell_angle_beta 123.18
_cell_angle_gamma 90.00
loop_
_atom_site_label
_atom_site_type_symbol
_atom_site_fract_x
_atom_site_fract_y
_atom_site_fract_z
_atom_site_occupancy
Li1 Li 0.000 0.000 0.000 1
Li2 Li 0.000 0.000 0.500 1
Pd1 Pd 0.166 0.500 0.303 1
Au1 Au 0.164 0.500 0.800 1
```

***

## LiPdAu (GGA-PBE)

Data for an optimized crystal structure of LiPdAu.

Calculated values
DOS at the Fermi energy: 3.871 states/eV/cell
calculated volume: 46.9 Å³/f.u.
ΔH_f (0 K): -0.42 eV per atom
magnetization: 0.00 μB per formula unit
offset from the most stable computed form: 8 meV/atom

CIF file:
```
data_LiPdAu
_space_group_name_H-M_alt 'C 1 2/m 1'
_space_group_IT_number 12
_space_group_name_Hall '-C 2y'
_cell_length_a 4.897
_cell_length_b 8.403
_cell_length_c 4.873
_cell_angle_alpha 90.00
_cell_angle_beta 110.64
_cell_angle_gamma 90.00
loop_
_atom_site_label
_atom_site_type_symbol
_atom_site_fract_x
_atom_site_fract_y
_atom_site_fract_z
_atom_site_occupancy
Li1 Li 0.000 0.170 0.000 1
Pd1 Pd 0.000 0.333 0.500 1
Au1 Au 0.000 0.000 0.500 1
Au2 Au 0.000 0.500 0.000 1
```

***

## LiPdAu (GGA-PBE)

Data for an optimized crystal structure of LiPdAu.

Calculated values
DOS at the Fermi energy: 0.701 states/eV/cell
calculated volume: 46.4 Å³/f.u.
ΔH_f (0 K): -0.39 eV per atom
magnetization: 0.00 μB per formula unit
offset from the most stable computed form: 45 meV/atom

CIF file:
```
data_LiPdAu
_space_group_name_H-M_alt 'P 3 m 1'
_space_group_IT_number 156
_space_group_name_Hall 'P 3 -2"'
_cell_length_a 4.4081
_cell_length_b 4.4081
_cell_length_c 2.7586
_cell_angle_alpha 90.00
_cell_angle_beta 90.00
_cell_angle_gamma 120.00
loop_
_atom_site_label
_atom_site_type_symbol
_atom_site_fract_x
_atom_site_fract_y
_atom_site_fract_z
_atom_site_occupancy
Li1 Li 0.0000 0.0000 0.0000 1
Pd1 Pd 0.3333 0.6667 0.2435 1
Au1 Au 0.6667 0.3333 0.7040 1
```